Entry from the Alexandria database: crystalline SrNpBi2 at its relaxed geometry (PBE).

Cell lengths 3.792, 3.792, 8.787 Å; angles 90.00, 90.00, 90.00 degrees
Atoms (fractional coordinates):
Sr (0.000, 0.000, 0.000)
Np (0.000, 0.000, 0.500)
Bi (0.500, 0.500, 0.264)
Bi (0.500, 0.500, 0.736)

Values from the calculation:
**Energy of formation from the pure elements**: -0.282 eV per atom
**Symmetry**: No. 123